No. 1
# HfSc2O PBE relaxed
data_HfSc2O
_chemical_formula_sum 'Hf1 Sc2 O1'
_cell_length_a 8.6703
_cell_length_b 8.6703
_cell_length_c 8.6703
_cell_angle_alpha 20.77
_cell_angle_beta 20.77
_cell_angle_gamma 20.77
_symmetry_space_group_name_H-M 'P 1'
_symmetry_Int_Tables_number 1
_symmetry_space_group_name_Hall 'P 1'
loop_
_atom_site_label
_atom_site_type_symbol
_atom_site_fract_x
_atom_site_fract_y
_atom_site_fract_z
Hf1 Hf 0.0000 0.0000 0.0000
Sc1 Sc 0.1173 0.1173 0.1173
Sc2 Sc 0.8827 0.8827 0.8827
O1 O 0.5000 0.5000 0.5000
# - volume (Å³ per cell) = 71.8
# - formation energy without anion corrections (eV/atom) = -1.240
# - density of states at the Fermi level (states/eV/f.u.) = 2.25
# - calculated total energy (eV per atom) = -8.13
# - space group = R-3m, No. 166
# - magnetization (μB/atom) = 0.000

***

No. 2
# MgSc2AlH PBE relaxed
data_MgSc2AlH
_chemical_formula_sum 'Mg1 Sc2 Al1 H1'
_cell_length_a 4.3861
_cell_length_b 4.3861
_cell_length_c 4.3805
_cell_angle_alpha 90.00
_cell_angle_beta 90.00
_cell_angle_gamma 90.00
_symmetry_space_group_name_H-M 'P 1'
_symmetry_Int_Tables_number 1
_symmetry_space_group_name_Hall 'P 1'
loop_
_atom_site_label
_atom_site_type_symbol
_atom_site_fract_x
_atom_site_fract_y
_atom_site_fract_z
Mg1 Mg 0.0000 0.0000 0.0000
Sc1 Sc 0.0000 0.5000 0.5000
Sc2 Sc 0.5000 0.0000 0.5000
Al1 Al 0.5000 0.5000 0.0000
H1 H 0.0000 0.0000 0.5000
# - volume (Å³ per cell) = 84.3
# - density of states at the Fermi level (states/eV/f.u.) = 3.31
# - calculated total energy (eV per atom) = -4.56
# - space group = P4/mmm, No. 123
# - magnetization (μB/atom) = 0.206
# - E above lowest polymorph (meV per atom) = 0

***

No. 3
# CaDySn2 PBE relaxed
data_CaDySn2
_chemical_formula_sum 'Ca1 Dy1 Sn2'
_cell_length_a 3.4802
_cell_length_b 3.4802
_cell_length_c 8.9890
_cell_angle_alpha 90.00
_cell_angle_beta 90.00
_cell_angle_gamma 90.00
_symmetry_space_group_name_H-M 'P 1'
_symmetry_Int_Tables_number 1
_symmetry_space_group_name_Hall 'P 1'
loop_
_atom_site_label
_atom_site_type_symbol
_atom_site_fract_x
_atom_site_fract_y
_atom_site_fract_z
Ca1 Ca 0.0000 0.0000 0.0000
Dy1 Dy 0.0000 0.0000 0.5000
Sn1 Sn 0.5000 0.5000 0.2561
Sn2 Sn 0.5000 0.5000 0.7439
# - DFT formation energy (meV/atom) = -631.5
# - volume (Å³ per cell) = 108.9
# - density of states at the Fermi level (states/eV/f.u.) = 2.23
# - calculated total energy (eV per atom) = -4.28
# - space group = P4/mmm, No. 123
# - magnetization (μB/atom) = 0.000